This record from Alexandria via LeMat-Bulk describes Er5AlHg2 after structural relaxation. The functional is PBE.

Properties
SG: No. 140
Formation energy from the elements: -0.317 eV/atom
Crystal system: tetragonal
Raw total energy: -3.712 eV per atom

Lattice parameters (Å, degrees): 8.643 8.643 8.643 123.97 123.97 83.26
Sites, in units of the cell vectors:
Er  0.000  0.000  0.000
Er  0.003  0.503  0.812
Er  0.192  0.003  0.500
Er  0.308  0.808  0.812
Er  0.497  0.308  0.500
Er  0.500  0.500  0.000
Er  0.503  0.692  0.500
Er  0.692  0.192  0.188
Er  0.808  0.997  0.500
Er  0.997  0.497  0.188
Al  0.250  0.250  0.000
Al  0.750  0.750  0.000
Hg  0.139  0.361  0.500
Hg  0.361  0.861  0.223
Hg  0.639  0.139  0.777
Hg  0.861  0.639  0.500

This record from Alexandria via LeMat-Bulk describes Er6AlHg5 after structural relaxation. The functional is PBE.

Properties
SG: No. 71
Formation energy from the elements: -0.456 eV/atom
Crystal system: orthorhombic
Raw total energy: -3.175 eV per atom

Lattice parameters (Å, degrees): 9.012 9.012 9.012 146.58 131.77 59.95
Sites, in units of the cell vectors:
Er  0.082  0.334  0.748
Er  0.247  0.000  0.247
Er  0.413  0.666  0.748
Er  0.587  0.334  0.252
Er  0.753  0.000  0.753
Er  0.918  0.666  0.252
Al  0.000  0.500  0.500
Hg  0.164  0.164  0.000
Hg  0.335  0.835  0.500
Hg  0.500  0.500  0.000
Hg  0.665  0.165  0.500
Hg  0.836  0.836  0.000